No. 1
Here is a relaxed structure of Nd4Nb3Zn from OQMD. Energies are from GGA-PBE.

Unit cell a=7.3741 b=7.3741 c=7.3741 alpha=131.93 beta=131.93 gamma=70.33
Sites, in units of the cell vectors:
Nd  0.0000  0.5000  0.5000
Nd  0.2418  0.2418  0.0000
Nd  0.5000  0.0000  0.5000
Nd  0.7582  0.7582  0.0000
Nb  0.2500  0.7500  0.5000
Nb  0.5000  0.5000  0.0000
Nb  0.7500  0.2500  0.5000
Zn  0.0000  0.0000  0.0000

- ΔE_f (eV per atom) = 0.94

=====

No. 2
Here is a relaxed structure of NdZrNb from OQMD. Energies are from GGA-PBE.

Unit cell a=4.8193 b=4.8193 c=4.8193 alpha=60.00 beta=60.00 gamma=60.00
Sites, in units of the cell vectors:
Nd  0.0000  0.0000  0.0000
Zr  0.2500  0.2500  0.2500
Nb  0.7500  0.7500  0.7500

- ΔE_f (eV per atom) = 1.32

=====

No. 3
Here is a relaxed structure of NdZrNb from OQMD. Energies are from GGA-PBE.

Unit cell a=4.8570 b=4.8570 c=4.8570 alpha=60.00 beta=60.00 gamma=60.00
Sites, in units of the cell vectors:
Nd  0.0000  0.0000  0.0000
Zr  0.5000  0.5000  0.5000
Nb  0.2500  0.2500  0.2500

- ΔE_f (eV per atom) = 0.77